1.
# TaTePbO6 | Alexandria via LeMat-Bulk | GGA-PBE | optimized geometry
data_TaTePbO6
_space_group_name_H-M_alt 'P -3 1 c'
_space_group_IT_number 163
_space_group_name_Hall '-P 3 2c'
_cell_length_a 5.4837
_cell_length_b 5.4837
_cell_length_c 10.7518
_cell_angle_alpha 90.00
_cell_angle_beta 90.00
_cell_angle_gamma 120.00
loop_
_atom_site_label
_atom_site_type_symbol
_atom_site_fract_x
_atom_site_fract_y
_atom_site_fract_z
_atom_site_occupancy
Ta1 Ta 0.3333 0.6667 0.2500 1
Te1 Te 0.3333 0.6667 0.7500 1
Pb1 Pb 0.0000 0.0000 0.0000 1
O1 O 0.0062 0.3887 0.1454 1
# Raw total energy ... -7.100 eV per atom
# Total magnetic moment ... 0.00 μB/f.u.


2.
# ThTaPbO6 | Alexandria via LeMat-Bulk | GGA-PBE | optimized geometry
data_ThTaPbO6
_space_group_name_H-M_alt 'P 42 n m'
_space_group_IT_number 102
_cell_length_a 5.142
_cell_length_b 5.142
_cell_length_c 10.467
_cell_angle_alpha 90.00
_cell_angle_beta 90.00
_cell_angle_gamma 90.00
loop_
_space_group_symop_operation_xyz
'x,y,z'
'-y+1/2,x+1/2,z+1/2'
'-x,-y,z'
'y+1/2,-x+1/2,z+1/2'
'-x+1/2,y+1/2,z+1/2'
'y,x,z'
'x+1/2,-y+1/2,z+1/2'
'-y,-x,z'
loop_
_atom_site_label
_atom_site_type_symbol
_atom_site_fract_x
_atom_site_fract_y
_atom_site_fract_z
_atom_site_occupancy
Th1 Th 0.000 0.000 0.000 1
Ta1 Ta 0.000 0.000 0.664 1
Pb1 Pb 0.000 0.000 0.329 1
O1 O 0.178 0.178 0.814 1
O2 O 0.186 0.186 0.523 1
O3 O 0.222 0.222 0.160 1
# Raw total energy ... -8.417 eV per atom
# Total magnetic moment ... 0.00 μB/f.u.


3.
# TaTi2PbO | Alexandria via LeMat-Bulk | GGA-PBE | optimized geometry
data_TaTi2PbO
_space_group_name_H-M_alt 'P 4/m m m'
_space_group_IT_number 123
_space_group_name_Hall '-P 4 2'
_cell_length_a 4.772
_cell_length_b 4.772
_cell_length_c 5.464
_cell_angle_alpha 90.00
_cell_angle_beta 90.00
_cell_angle_gamma 90.00
loop_
_atom_site_label
_atom_site_type_symbol
_atom_site_fract_x
_atom_site_fract_y
_atom_site_fract_z
_atom_site_occupancy
Ta1 Ta 0.000 0.000 0.000 1
Ti1 Ti 0.000 0.500 0.000 1
Pb1 Pb 0.000 0.000 0.500 1
O1 O 0.500 0.500 0.500 1
# Raw total energy ... -6.013 eV per atom
# Total magnetic moment ... 1.29 μB/f.u.


4.
# TaTlPb2O6 | Alexandria via LeMat-Bulk | GGA-PBE | optimized geometry
data_TaTlPb2O6
_space_group_name_H-M_alt 'P 1 21/c 1'
_space_group_IT_number 14
_cell_length_a 5.876
_cell_length_b 5.969
_cell_length_c 10.223
_cell_angle_alpha 90.00
_cell_angle_beta 124.94
_cell_angle_gamma 90.00
loop_
_space_group_symop_operation_xyz
'x,y,z'
'-x,-y,-z'
'-x,y+1/2,-z+1/2'
'x,-y+1/2,z+1/2'
loop_
_atom_site_label
_atom_site_type_symbol
_atom_site_fract_x
_atom_site_fract_y
_atom_site_fract_z
_atom_site_occupancy
Ta1 Ta 0.000 0.000 0.000 1
Tl1 Tl 0.500 0.000 0.500 1
Pb1 Pb 0.257 0.033 0.751 1
O1 O 0.148 0.024 0.233 1
O2 O 0.231 0.724 0.045 1
O3 O 0.317 0.190 0.040 1
# Raw total energy ... -6.742 eV per atom
# Total magnetic moment ... 0.00 μB/f.u.